1.
The following is a PBE calculation of a relaxed structure of Mg2Ni5SnB2, from Alexandria via LeMat-Bulk.

Geometry as POSCAR:
```
Mg2Ni5SnB2
1.0
8.965 0.000 0.000
0.000 8.965 0.000
0.000 0.000 2.998
Mg Ni Sn B
4 10 2 4
Direct
0.177 0.323 0.000
0.323 0.823 0.000
0.677 0.177 0.000
0.823 0.677 0.000
0.000 0.500 0.500
0.069 0.767 0.500
0.233 0.069 0.500
0.267 0.569 0.500
0.431 0.267 0.500
0.500 0.000 0.500
0.569 0.733 0.500
0.733 0.431 0.500
0.767 0.931 0.500
0.931 0.233 0.500
0.000 0.000 0.000
0.500 0.500 0.000
0.117 0.617 0.000
0.383 0.117 0.000
0.617 0.883 0.000
0.883 0.383 0.000
```

Values from the calculation:
space-group type = P4/mbm (127)
calculated volume = 240.94 Å³ per cell
energy relative to the elements = -0.32 eV per atom

***

2.
The following is a PBE calculation of a relaxed structure of MgNi2SnB, from Alexandria via LeMat-Bulk.

Geometry as POSCAR:
```
MgNi2SnB
1.0
4.028 0.000 0.000
0.000 4.028 0.000
0.000 0.000 4.577
Mg Ni Sn B
1 2 1 1
Direct
0.000 0.000 0.000
0.000 0.500 0.500
0.500 0.000 0.500
0.500 0.500 0.000
0.500 0.500 0.500
```

Values from the calculation:
space-group type = P4/mmm (123)
calculated volume = 74.28 Å³ per cell
energy relative to the elements = 0.20 eV per atom

***

3.
The following is a PBE calculation of a relaxed structure of Y2MgNiB, from Alexandria via LeMat-Bulk.

Geometry as POSCAR:
```
Y2MgNiB
1.0
5.163 0.000 0.000
0.000 5.163 0.000
0.000 0.000 3.845
Y Mg Ni B
2 1 1 1
Direct
0.000 0.500 0.000
0.500 0.000 0.000
0.000 0.000 0.500
0.500 0.500 0.500
0.500 0.500 0.000
```

Values from the calculation:
space-group type = P4/mmm (123)
calculated volume = 102.50 Å³ per cell
energy relative to the elements = -0.18 eV per atom

***

4.
The following is a PBE calculation of a relaxed structure of Mg2ZnNi5B2, from Alexandria via LeMat-Bulk.

Geometry as POSCAR:
```
Mg2ZnNi5B2
1.0
8.776 0.000 0.000
0.000 8.776 0.000
0.000 0.000 2.909
Mg Zn Ni B
4 2 10 4
Direct
0.177 0.323 0.000
0.323 0.823 0.000
0.677 0.177 0.000
0.823 0.677 0.000
0.000 0.000 0.000
0.500 0.500 0.000
0.000 0.500 0.500
0.069 0.776 0.500
0.224 0.069 0.500
0.276 0.569 0.500
0.431 0.276 0.500
0.500 0.000 0.500
0.569 0.724 0.500
0.724 0.431 0.500
0.776 0.931 0.500
0.931 0.224 0.500
0.121 0.621 0.000
0.379 0.121 0.000
0.621 0.879 0.000
0.879 0.379 0.000
```

Values from the calculation:
space-group type = P4/mbm (127)
calculated volume = 224.03 Å³ per cell
energy relative to the elements = -0.34 eV per atom

***

5.
The following is a PBE calculation of a relaxed structure of MgNpB12, from Alexandria via LeMat-Bulk.

Geometry as POSCAR:
```
MgNpB12
1.0
4.094 0.000 0.000
0.000 4.094 0.000
0.000 0.000 8.230
Mg Np B
1 1 12
Direct
0.000 0.000 0.000
0.000 0.000 0.500
0.199 0.500 0.250
0.199 0.500 0.750
0.500 0.199 0.250
0.500 0.199 0.750
0.500 0.500 0.100
0.500 0.500 0.401
0.500 0.500 0.599
0.500 0.500 0.900
0.500 0.801 0.250
0.500 0.801 0.750
0.801 0.500 0.250
0.801 0.500 0.750
```

Values from the calculation:
space-group type = P4/mmm (123)
calculated volume = 137.91 Å³ per cell
energy relative to the elements = -0.12 eV per atom

***

6.
The following is a PBE calculation of a relaxed structure of Mg3NpB4O12, from Alexandria via LeMat-Bulk.

Geometry as POSCAR:
```
Mg3NpB4O12
1.0
4.809 2.777 2.626
-4.809 2.777 2.626
0.000 -5.553 2.626
Mg Np B O
3 1 4 12
Direct
0.000 0.556 0.444
0.444 0.000 0.556
0.556 0.444 0.000
0.000 0.000 0.000
0.048 0.500 0.952
0.500 0.500 0.500
0.500 0.952 0.048
0.952 0.048 0.500
0.038 0.648 0.809
0.092 0.908 0.500
0.191 0.352 0.962
0.352 0.962 0.191
0.359 0.641 0.500
0.500 0.092 0.908
0.500 0.359 0.641
0.641 0.500 0.359
0.648 0.809 0.038
0.809 0.038 0.648
0.908 0.500 0.092
0.962 0.191 0.352
```

Values from the calculation:
space-group type = R32 (155)
calculated volume = 210.42 Å³ per cell
formation energy (no corrections) = -48.6 eV per formula unit

***

7.
The following is a PBE calculation of a relaxed structure of Mg2NpB2Rh5, from Alexandria via LeMat-Bulk.

Geometry as POSCAR:
```
Mg2NpB2Rh5
1.0
9.810 0.000 0.000
0.000 9.810 0.000
0.000 0.000 3.000
Mg Np B Rh
4 2 4 10
Direct
0.175 0.325 0.000
0.325 0.825 0.000
0.675 0.175 0.000
0.825 0.675 0.000
0.000 0.000 0.000
0.500 0.500 0.000
0.119 0.619 0.000
0.381 0.119 0.000
0.619 0.881 0.000
0.881 0.381 0.000
0.000 0.500 0.500
0.073 0.774 0.500
0.226 0.073 0.500
0.274 0.573 0.500
0.427 0.274 0.500
0.500 0.000 0.500
0.573 0.726 0.500
0.726 0.427 0.500
0.774 0.927 0.500
0.927 0.226 0.500
```

Values from the calculation:
space-group type = P4/mbm (127)
calculated volume = 288.68 Å³ per cell
energy relative to the elements = -0.43 eV per atom

***

8.
The following is a PBE calculation of a relaxed structure of MgBO, from Alexandria via LeMat-Bulk.

Geometry as POSCAR:
```
MgBO
1.0
3.685 0.000 0.000
0.000 3.137 0.000
-0.732 0.000 5.255
Mg B O
2 2 2
Direct
0.106 0.250 0.283
0.894 0.750 0.717
0.455 0.250 0.931
0.545 0.750 0.069
0.232 0.250 0.669
0.768 0.750 0.331
```

Values from the calculation:
energy relative to the lowest polymorph listed for this composition = 0.203 kcal/mol of atoms
space-group type = P2_1/m (11)
calculated volume = 60.74 Å³ per cell
formation energy (no corrections) = -4.3 eV per formula unit

***

9.
The following is a PBE calculation of a relaxed structure of MgBO2, from Alexandria via LeMat-Bulk.

Geometry as POSCAR:
```
MgBO2
1.0
-2.359 2.359 3.463
2.359 -2.359 3.463
2.359 2.359 -3.463
Mg B O
2 2 4
Direct
0.000 0.000 0.000
0.750 0.250 0.500
0.250 0.750 0.500
0.500 0.500 0.000
0.288 0.625 0.163
0.375 0.538 0.663
0.462 0.125 0.837
0.875 0.712 0.337
```

Values from the calculation:
energy relative to the lowest polymorph listed for this composition = 6.647 kcal/mol of atoms
space-group type = I-42d (122)
calculated volume = 77.11 Å³ per cell
formation energy (no corrections) = -6.0 eV per formula unit

***

10.
The following is a PBE calculation of a relaxed structure of MgB2O4, from Alexandria via LeMat-Bulk.

Geometry as POSCAR:
```
MgB2O4
1.0
6.358 -2.743 0.000
6.358 2.743 0.000
-6.341 0.000 7.308
Mg B O
2 4 8
Direct
0.124 0.876 0.750
0.876 0.124 0.250
0.000 0.500 0.000
0.500 0.000 0.500
0.500 0.500 0.000
0.500 0.500 0.500
0.074 0.248 0.899
0.248 0.074 0.399
0.325 0.652 0.900
0.348 0.675 0.600
0.652 0.325 0.400
0.675 0.348 0.100
0.752 0.926 0.601
0.926 0.752 0.101
```

Values from the calculation:
energy relative to the lowest polymorph listed for this composition = 0.000 kcal/mol of atoms
space-group type = C2/c (15)
calculated volume = 254.86 Å³ per cell
formation energy (no corrections) = -16.1 eV per formula unit

***

11.
The following is a PBE calculation of a relaxed structure of MgBO, from Alexandria via LeMat-Bulk.

Geometry as POSCAR:
```
MgBO
1.0
2.542 -1.483 0.000
2.542 1.483 0.000
-2.479 0.000 7.951
Mg B O
2 2 2
Direct
0.000 0.000 0.000
0.152 0.152 0.327
0.542 0.542 0.769
0.973 0.973 0.642
0.410 0.410 0.167
0.887 0.887 0.471
```

Values from the calculation:
energy relative to the lowest polymorph listed for this composition = 3.113 kcal/mol of atoms
space-group type = Cm (8)
calculated volume = 59.95 Å³ per cell
formation energy (no corrections) = -3.9 eV per formula unit

***

12.
The following is a PBE calculation of a relaxed structure of MgBO, from Alexandria via LeMat-Bulk.

Geometry as POSCAR:
```
MgBO
1.0
2.565 -1.490 0.000
2.565 1.490 0.000
-0.746 0.000 7.835
Mg B O
2 2 2
Direct
0.000 0.000 0.000
0.710 0.710 0.317
0.089 0.089 0.552
0.615 0.615 0.680
0.357 0.357 0.155
0.643 0.643 0.854
```

Values from the calculation:
energy relative to the lowest polymorph listed for this composition = 2.063 kcal/mol of atoms
space-group type = Cm (8)
calculated volume = 59.89 Å³ per cell
formation energy (no corrections) = -4.1 eV per formula unit

***

13.
The following is a PBE calculation of a relaxed structure of MgBO, from Alexandria via LeMat-Bulk.

Geometry as POSCAR:
```
MgBO
1.0
1.694 0.978 5.824
-1.694 0.978 5.824
0.000 -1.956 5.824
Mg B O
2 2 2
Direct
0.096 0.096 0.096
0.904 0.904 0.904
0.320 0.320 0.320
0.680 0.680 0.680
0.225 0.225 0.225
0.775 0.775 0.775
```

Values from the calculation:
energy relative to the lowest polymorph listed for this composition = 3.355 kcal/mol of atoms
space-group type = R-3m (166)
calculated volume = 57.86 Å³ per cell
formation energy (no corrections) = -3.9 eV per formula unit

***

14.
The following is a PBE calculation of a relaxed structure of MgBO, from Alexandria via LeMat-Bulk.

Geometry as POSCAR:
```
MgBO
1.0
2.689 -1.551 0.000
2.689 1.551 0.000
-2.590 0.000 6.567
Mg B O
2 2 2
Direct
0.000 0.000 0.000
0.530 0.530 0.376
0.194 0.194 0.745
0.529 0.529 0.744
0.265 0.265 0.543
0.777 0.777 0.193
```

Values from the calculation:
energy relative to the lowest polymorph listed for this composition = 0.000 kcal/mol of atoms
space-group type = Cm (8)
calculated volume = 54.79 Å³ per cell
formation energy (no corrections) = -4.3 eV per formula unit

***

15.
The following is a PBE calculation of a relaxed structure of MgBO, from Alexandria via LeMat-Bulk.

Geometry as POSCAR:
```
MgBO
1.0
4.382 0.000 0.000
0.000 3.158 0.000
-0.873 0.000 4.600
Mg B O
2 2 2
Direct
0.205 0.250 0.348
0.795 0.750 0.652
0.434 0.750 0.940
0.566 0.250 0.060
0.259 0.750 0.623
0.741 0.250 0.377
```

Values from the calculation:
energy relative to the lowest polymorph listed for this composition = 1.325 kcal/mol of atoms
space-group type = P2_1/m (11)
calculated volume = 63.66 Å³ per cell
formation energy (no corrections) = -4.2 eV per formula unit

***

16.
The following is a PBE calculation of a relaxed structure of Mg2BO4, from Alexandria via LeMat-Bulk.

Geometry as POSCAR:
```
Mg2BO4
1.0
4.846 0.000 0.000
0.000 5.354 0.000
-1.746 0.000 5.238
Mg B O
4 2 8
Direct
0.099 0.250 0.003
0.271 0.250 0.559
0.729 0.750 0.441
0.901 0.750 0.997
0.294 0.750 0.815
0.706 0.250 0.185
0.096 0.527 0.750
0.096 0.973 0.750
0.374 0.750 0.100
0.473 0.250 0.293
0.527 0.750 0.707
0.626 0.250 0.900
0.904 0.027 0.250
0.904 0.473 0.250
```

Values from the calculation:
energy relative to the lowest polymorph listed for this composition = 3.382 kcal/mol of atoms
space-group type = P2_1/m (11)
calculated volume = 135.90 Å³ per cell
formation energy (no corrections) = -15.5 eV per formula unit

***

17.
The following is a PBE calculation of a relaxed structure of MgB2O4, from Alexandria via LeMat-Bulk.

Geometry as POSCAR:
```
MgB2O4
1.0
-2.377 2.377 5.544
2.377 -2.377 5.544
2.377 2.377 -5.544
Mg B O
2 4 8
Direct
0.375 0.625 0.750
0.625 0.375 0.250
0.000 0.000 0.000
0.000 0.000 0.500
0.000 0.500 0.000
0.500 0.000 0.500
0.215 0.247 0.967
0.220 0.753 0.467
0.247 0.215 0.467
0.247 0.780 0.033
0.753 0.220 0.967
0.753 0.785 0.533
0.780 0.247 0.533
0.785 0.753 0.033
```

Values from the calculation:
energy relative to the lowest polymorph listed for this composition = 13.227 kcal/mol of atoms
space-group type = I4_1/amd (141)
calculated volume = 125.28 Å³ per cell
formation energy (no corrections) = -12.1 eV per formula unit

***

18.
The following is a PBE calculation of a relaxed structure of MgBO2, from Alexandria via LeMat-Bulk.

Geometry as POSCAR:
```
MgBO2
1.0
0.000 2.584 2.584
2.584 0.000 2.584
2.584 2.584 0.000
Mg B O
1 1 2
Direct
0.000 0.000 0.000
0.500 0.500 0.500
0.250 0.250 0.250
0.750 0.750 0.750
```

Values from the calculation:
energy relative to the lowest polymorph listed for this composition = 36.379 kcal/mol of atoms
space-group type = Fm-3m (225)
calculated volume = 34.49 Å³ per cell
formation energy (no corrections) = -0.9 eV per formula unit

***

19.
The following is a PBE calculation of a relaxed structure of MgBO, from Alexandria via LeMat-Bulk.

Geometry as POSCAR:
```
MgBO
1.0
-1.505 2.959 3.606
1.505 -2.959 3.606
1.505 2.959 -3.606
Mg B O
2 2 2
Direct
0.000 0.000 0.000
0.500 0.000 0.500
0.452 0.702 0.750
0.548 0.298 0.250
0.236 0.486 0.750
0.764 0.514 0.250
```

Values from the calculation:
energy relative to the lowest polymorph listed for this composition = 0.409 kcal/mol of atoms
space-group type = Imma (74)
calculated volume = 64.23 Å³ per cell
formation energy (no corrections) = -4.3 eV per formula unit

***

20.
The following is a PBE calculation of a relaxed structure of Mg2BO4, from Alexandria via LeMat-Bulk.

Geometry as POSCAR:
```
Mg2BO4
1.0
9.683 0.000 0.000
0.000 3.126 0.000
0.000 0.000 9.383
Mg B O
8 4 16
Direct
0.104 0.250 0.196
0.141 0.250 0.565
0.359 0.750 0.065
0.396 0.750 0.696
0.604 0.250 0.304
0.641 0.250 0.935
0.859 0.750 0.435
0.896 0.750 0.804
0.168 0.250 0.869
0.332 0.750 0.369
0.668 0.250 0.631
0.832 0.750 0.131
0.001 0.250 0.398
0.027 0.250 0.846
0.221 0.250 0.006
0.244 0.750 0.251
0.256 0.250 0.751
0.279 0.750 0.506
0.473 0.750 0.346
0.499 0.750 0.898
0.501 0.250 0.102
0.527 0.250 0.654
0.721 0.250 0.494
0.744 0.750 0.249
0.756 0.250 0.749
0.779 0.750 0.994
0.973 0.750 0.154
0.999 0.750 0.602
```

Values from the calculation:
energy relative to the lowest polymorph listed for this composition = 0.000 kcal/mol of atoms
space-group type = Pnma (62)
calculated volume = 284.01 Å³ per cell
formation energy (no corrections) = -16.6 eV per formula unit